Entry from Alexandria via LeMat-Bulk: a relaxed structure of ScAg2HgH (GGA-PBE).

Calculated total energy, eV/atom: -3.240

Cell and atoms, written as POSCAR:
```
ScAg2HgH
1.0
-4.498 -0.370 -0.338
0.147 -3.892 2.305
-0.428 2.034 3.461
Sc H Hg Ag
1 1 1 2
direct
0.000 0.000 0.500
0.000 0.000 0.000
0.500 0.500 0.500
0.000 0.500 0.000
0.500 0.000 0.000
```